Record 1
Density functional theory data (PBE) for a relaxed MnBiIr2Pt crystal.

Cell and atoms, written as POSCAR:
```
MnBiIr2Pt
1.0
4.903 0.000 0.000
0.000 4.903 0.000
0.000 0.000 4.721
Ir Pt Bi Mn
2 1 1 1
Direct
0.000 0.500 0.000 Ir
0.500 0.000 0.000 Ir
0.000 0.000 0.000 Pt
0.500 0.500 0.500 Bi
0.000 0.000 0.500 Mn
```

Values from the calculation:
* crystal system: tetragonal
* V: 113.5 Å³ per cell
* energy relative to the elements: 1.159 eV/atom
* DOS at the Fermi energy: 1.3056 states/eV per atom
* size of the total moment: 1.2316 μB/atom
* final energy: -31.0 eV for the cell shown
* calculated density: 12.3 Mg/m³

Record 2
Density functional theory data (PBE) for a relaxed BiMoIr2 crystal.

Cell and atoms, written as POSCAR:
```
BiMoIr2
1.0
5.950 0.000 0.000
0.000 5.950 0.000
2.975 2.975 5.749
Mo Ir Bi
2 4 2
Direct
0.500 0.500 0.000 Mo
0.250 0.750 0.500 Mo
0.875 0.838 0.750 Ir
0.375 0.412 0.750 Ir
0.588 0.125 0.250 Ir
0.162 0.625 0.250 Ir
0.750 0.250 0.500 Bi
0.000 0.000 0.000 Bi
```

Values from the calculation:
* crystal system: tetragonal
* V: 203.6 Å³ per cell
* energy relative to the elements: 0.754 eV/atom
* DOS at the Fermi energy: 1.5772 states/eV per atom
* size of the total moment: 0.0000 μB/atom
* final energy: -58.8 eV for the cell shown
* calculated density: 11.2 Mg/m³

Record 3
Density functional theory data (PBE) for a relaxed BiMo2Ir crystal.

Cell and atoms, written as POSCAR:
```
BiMo2Ir
1.0
6.127 0.000 0.000
0.000 6.127 0.000
3.064 3.064 5.592
Mo Bi Ir
4 2 2
Direct
0.578 0.125 0.250 Mo
0.875 0.828 0.750 Mo
0.375 0.422 0.750 Mo
0.172 0.625 0.250 Mo
0.000 0.000 0.000 Bi
0.750 0.250 0.500 Bi
0.250 0.750 0.500 Ir
0.500 0.500 0.000 Ir
```

Values from the calculation:
* crystal system: tetragonal
* V: 210.0 Å³ per cell
* energy relative to the elements: 1.179 eV/atom
* DOS at the Fermi energy: 1.0049 states/eV per atom
* size of the total moment: 0.0217 μB/atom
* final energy: -59.4 eV for the cell shown
* calculated density: 9.4 Mg/m³

Record 4
Density functional theory data (PBE) for a relaxed NiBi2MoIr crystal.

Cell and atoms, written as POSCAR:
```
NiBi2MoIr
1.0
4.942 0.000 0.000
0.000 4.558 0.000
0.000 0.000 4.942
Ni Bi Mo Ir
1 2 1 1
Direct
0.000 0.000 0.000 Ni
0.500 0.000 0.000 Bi
0.000 0.000 0.500 Bi
0.000 0.500 0.000 Mo
0.500 0.500 0.500 Ir
```

Values from the calculation:
* crystal system: tetragonal
* V: 111.3 Å³ per cell
* energy relative to the elements: 1.227 eV/atom
* DOS at the Fermi energy: 1.1023 states/eV per atom
* size of the total moment: 0.4595 μB/atom
* final energy: -27.1 eV for the cell shown
* calculated density: 11.4 Mg/m³

Record 5
Density functional theory data (PBE) for a relaxed BiMo2IrOs crystal.

Cell and atoms, written as POSCAR:
```
BiMo2IrOs
1.0
4.726 0.000 0.000
0.000 5.064 0.000
0.000 0.000 4.726
Mo Bi Ir Os
2 1 1 1
Direct
0.500 0.000 0.000 Mo
0.000 0.000 0.500 Mo
0.000 0.500 0.000 Bi
0.500 0.500 0.500 Ir
0.000 0.000 0.000 Os
```

Values from the calculation:
* crystal system: tetragonal
* V: 113.1 Å³ per cell
* energy relative to the elements: 1.884 eV/atom
* DOS at the Fermi energy: 1.0934 states/eV per atom
* size of the total moment: 0.3037 μB/atom
* final energy: -36.2 eV for the cell shown
* calculated density: 11.5 Mg/m³

Record 6
Density functional theory data (PBE) for a relaxed TcBiMo2Ir crystal.

Cell and atoms, written as POSCAR:
```
TcBiMo2Ir
1.0
4.728 0.000 0.000
0.000 4.833 0.000
0.000 0.000 4.728
Mo Ir Tc Bi
2 1 1 1
Direct
0.500 0.000 0.000 Mo
0.000 0.000 0.500 Mo
0.000 0.500 0.000 Ir
0.000 0.000 0.000 Tc
0.500 0.500 0.500 Bi
```

Values from the calculation:
* crystal system: tetragonal
* V: 108.0 Å³ per cell
* energy relative to the elements: 1.387 eV/atom
* DOS at the Fermi energy: 1.2399 states/eV per atom
* size of the total moment: 0.2625 μB/atom
* final energy: -37.8 eV for the cell shown
* calculated density: 10.6 Mg/m³

- Which of these has the highest energy relative to the elements?
  BiMo2IrOs

- Look up the V of the first one.
  113.5 Å³ per cell

- Which formula does entry 4 have?
  NiBi2MoIr